Record 1
The following is a DFT calculation (GGA-PBE) of a geometry-optimized LiTcNi3 structure.

```
data_LiTcNi3
_chemical_formula_sum 'Li2 Tc2 Ni6'
_cell_length_a 2.547
_cell_length_b 6.344
_cell_length_c 7.755
_cell_angle_alpha 74.11
_cell_angle_beta 89.97
_cell_angle_gamma 89.91
_symmetry_space_group_name_H-M 'P -1'
_symmetry_Int_Tables_number 2
loop_
_symmetry_equiv_pos_as_xyz
'x,y,z'
'-x,-y,-z'
loop_
_atom_site_label
_atom_site_type_symbol
_atom_site_fract_x
_atom_site_fract_y
_atom_site_fract_z
Li1 Li 0.250 0.158 0.060
Tc1 Tc 0.250 0.345 0.435
Ni1 Ni 0.249 0.744 0.256
Ni2 Ni 0.249 0.965 0.645
Ni3 Ni 0.250 0.534 0.856
```

## Properties
DFT total energy = -59.1 eV per cell
Fermi-level density of states = 0.941 states/eV per atom

=====

Record 2
The following is a DFT calculation (GGA-PBE) of a geometry-optimized LiTcNi6 structure.

```
data_LiTcNi6
_chemical_formula_sum 'Li8 Tc8 Ni48'
_cell_length_a 7.160
_cell_length_b 10.069
_cell_length_c 10.089
_cell_angle_alpha 90.00
_cell_angle_beta 90.00
_cell_angle_gamma 90.00
_symmetry_space_group_name_H-M 'C m m m'
_symmetry_Int_Tables_number 65
_symmetry_space_group_name_Hall '-C 2 2'
loop_
_atom_site_label
_atom_site_type_symbol
_atom_site_fract_x
_atom_site_fract_y
_atom_site_fract_z
Li1 Li 0.000 0.000 0.247
Li2 Li 0.000 0.253 0.000
Tc1 Tc 0.000 0.248 0.500
Tc2 Tc 0.000 0.500 0.239
Ni1 Ni 0.000 0.000 0.000
Ni2 Ni 0.000 0.000 0.500
Ni3 Ni 0.000 0.251 0.252
Ni4 Ni 0.000 0.500 0.000
Ni5 Ni 0.000 0.500 0.500
Ni6 Ni 0.248 0.375 0.375
Ni7 Ni 0.250 0.124 0.125
```

## Properties
DFT total energy = -375.4 eV per cell
Fermi-level density of states = 1.188 states/eV per atom

=====

Record 3
The following is a DFT calculation (GGA-PBE) of a geometry-optimized LiTcNi2 structure.

```
data_LiTcNi2
_chemical_formula_sum 'Li4 Tc4 Ni8'
_cell_length_a 5.780
_cell_length_b 5.780
_cell_length_c 5.780
_cell_angle_alpha 90.00
_cell_angle_beta 90.00
_cell_angle_gamma 90.00
_symmetry_space_group_name_H-M 'F m -3 m'
_symmetry_Int_Tables_number 225
_symmetry_space_group_name_Hall '-F 4 2 3'
loop_
_atom_site_label
_atom_site_type_symbol
_atom_site_fract_x
_atom_site_fract_y
_atom_site_fract_z
Li1 Li 0.000 0.000 0.000
Tc1 Tc 0.000 0.000 0.500
Ni1 Ni 0.250 0.250 0.250
```

## Properties
DFT total energy = -92.6 eV per cell
Fermi-level density of states = 0.632 states/eV per atom

=====

Record 4
The following is a DFT calculation (GGA-PBE) of a geometry-optimized LiTcNi2 structure.

```
data_LiTcNi2
_chemical_formula_sum 'Li2 Tc2 Ni4'
_cell_length_a 2.565
_cell_length_b 4.232
_cell_length_c 9.336
_cell_angle_alpha 90.00
_cell_angle_beta 90.00
_cell_angle_gamma 90.00
_symmetry_space_group_name_H-M 'I m m 2'
_symmetry_Int_Tables_number 44
loop_
_symmetry_equiv_pos_as_xyz
'x,y,z'
'-x,-y,z'
'-x,y,z'
'x,-y,z'
'x+1/2,y+1/2,z+1/2'
'-x+1/2,-y+1/2,z+1/2'
'-x+1/2,y+1/2,z+1/2'
'x+1/2,-y+1/2,z+1/2'
loop_
_atom_site_label
_atom_site_type_symbol
_atom_site_fract_x
_atom_site_fract_y
_atom_site_fract_z
Li1 Li 0.000 0.000 0.000
Tc1 Tc 0.000 0.500 0.211
Ni1 Ni 0.000 0.000 0.489
Ni2 Ni 0.000 0.500 0.771
```

## Properties
DFT total energy = -46.8 eV per cell
Fermi-level density of states = 1.085 states/eV per atom

=====

Q: Which formula does entry 2 have?
A: LiTcNi6